No. 1
The following is a DFT calculation (GGA-PBE) of crystalline Li2MoBr at its relaxed geometry.

a = 3.0495 Å, b = 3.0495 Å, c = 25.9430 Å
α = 90.00°, β = 90.00°, γ = 120.00°
Space group R-3m (No. 166, hexagonal axes)
Unique sites:
Li 0.0000 0.0000 0.2382
Mo 0.0000 0.0000 0.0000
Br 0.0000 0.0000 0.5000

Values from the calculation:
For the total magnetization, the calculation gives 0.40 μB/f.u. The calculation puts the electronic total energy at -47.85 eV for the cell shown. The energy relative to the elements, uncorrected comes out at 0.383 eV per formula unit.

=====

No. 2
The following is a DFT calculation (GGA-PBE) of crystalline Li2MoBr at its relaxed geometry.

a = 7.059 Å, b = 7.059 Å, c = 7.059 Å
α = 90.00°, β = 90.00°, γ = 90.00°
Space group Fm-3m (No. 225)
Unique sites:
Li 0.250 0.250 0.250
Mo 0.000 0.000 0.000
Br 0.000 0.000 0.500

Values from the calculation:
For the total magnetization, the calculation gives 5.00 μB/f.u. The calculation puts the electronic total energy at -53.87 eV for the cell shown. The energy relative to the elements, uncorrected comes out at 2.864 eV per formula unit.

=====

No. 3
The following is a DFT calculation (GGA-PBE) of crystalline Li2MoBr at its relaxed geometry.

a = 2.997 Å, b = 4.622 Å, c = 9.467 Å
α = 90.00°, β = 90.00°, γ = 90.00°
Space group Immm (No. 71)
Unique sites:
Li 0.000 0.000 0.227
Mo 0.000 0.500 0.000
Br 0.000 0.500 0.500

Values from the calculation:
For the total magnetization, the calculation gives 0.51 μB/f.u. The calculation puts the electronic total energy at -29.57 eV for the cell shown. The energy relative to the elements, uncorrected comes out at 1.544 eV per formula unit.

=====

No. 4
The following is a DFT calculation (GGA-PBE) of crystalline Li2MoBr at its relaxed geometry.

a = 3.261 Å, b = 3.261 Å, c = 6.070 Å
α = 90.00°, β = 90.00°, γ = 90.00°
Space group P4mm (No. 99)
Unique sites:
Li 0.000 0.000 0.000
Li 0.500 0.500 0.236
Mo 0.000 0.000 0.488
Br 0.500 0.500 0.739

Values from the calculation:
For the total magnetization, the calculation gives 0.83 μB/f.u. The calculation puts the electronic total energy at -15.11 eV for the cell shown. The energy relative to the elements, uncorrected comes out at 1.224 eV per formula unit.

=====

No. 5
The following is a DFT calculation (GGA-PBE) of crystalline Li2MoBr at its relaxed geometry.

a = 7.334 Å, b = 7.334 Å, c = 5.022 Å
α = 90.00°, β = 90.00°, γ = 90.00°
Space group I-42d (No. 122)
Unique sites:
Li 0.211 0.750 0.125
Mo 0.000 0.000 0.500
Br 0.000 0.000 0.000

Values from the calculation:
For the total magnetization, the calculation gives 0.00 μB/f.u. The calculation puts the electronic total energy at -56.98 eV for the cell shown. The energy relative to the elements, uncorrected comes out at 2.088 eV per formula unit.

=====

No. 6
The following is a DFT calculation (GGA-PBE) of crystalline Li2MoBr at its relaxed geometry.

a = 3.178 Å, b = 5.192 Å, c = 9.136 Å
α = 90.00°, β = 90.00°, γ = 90.00°
Space group Cmm2 (No. 35)
Unique sites:
Li 0.000 0.000 0.000
Li 0.000 0.500 0.286
Mo 0.000 0.500 0.744
Br 0.000 0.000 0.507

Values from the calculation:
For the total magnetization, the calculation gives 0.00 μB/f.u. The calculation puts the electronic total energy at -29.71 eV for the cell shown. The energy relative to the elements, uncorrected comes out at 1.476 eV per formula unit.